Entry from the Alexandria database: an optimized crystal structure of LaScZn2Au5 (PBE-GGA).

Calculated values
V in Å³ per atom: 20.9
Space-group type: No. 123
E_tot in eV/atom: -3.76
D(E_F) in states/eV/f.u.: 3.954
Total magnetization in μB per formula unit: 0.00
Formation energy from the elements in meV/atom: -403

a = 4.8892 Å, b = 4.8892 Å, c = 7.8599 Å
α = 90.00°, β = 90.00°, γ = 90.00°
Last column: nearest neighbours and their distance in Å.
Positions (direct):
La (0.0000, 0.0000, 0.0000)  12 Au 3.23-3.46
Sc (0.0000, 0.0000, 0.5000)  8 Au 3.05
Zn (0.5000, 0.5000, 0.3447)  1 Zn 2.44, 5 Au 2.52-2.71
Zn (0.5000, 0.5000, 0.6553)  1 Zn 2.44, 5 Au 2.52-2.71
Au (0.0000, 0.5000, 0.2682)  2 Zn 2.52
Au (0.0000, 0.5000, 0.7318)  2 Zn 2.52
Au (0.5000, 0.0000, 0.2682)  2 Zn 2.52
Au (0.5000, 0.0000, 0.7318)  2 Zn 2.52
Au (0.5000, 0.5000, 0.0000)  2 Zn 2.71